{
  "formula": "MgW2Se",
  "functional": "GGA-PBE",
  "state": "optimized geometry",
  "raw_formation_energy_ev_per_atom": 0.33,
  "crystal_system": "orthorhombic",
  "dos_at_fermi_per_ev_atom": 0.5156,
  "total_energy_ev_per_atom": -7.42,
  "spacegroup": "Cmm2 (35)",
  "lattice_angstrom": [[1.633, -2.425, 0.000], [1.633, 2.425, 0.000], [0.000, 0.000, 9.001]],
  "species": ["Mg", "W", "W", "Se"],
  "frac_coords": [[0.000, 0.000, 0.000], [0.000, 0.000, 0.516], [0.500, 0.500, 0.741], [0.500, 0.500, 0.273]]
}